1.
An optimized crystal structure of Na2MgFeP2. Source: OQMD, functional GGA-PBE.

Lattice parameters (Å, degrees): 4.0517 4.0517 6.8679 90.00 90.00 90.00
Site moments in Bohr magnetons follow the coordinates.
Element x y z (fractional)
Fe  0.0000  0.0000  0.0000  2.94
Mg  0.5000  0.5000  0.0000  0.00
Na  0.0000  0.5000  0.3617  0.01
Na  0.5000  0.0000  0.6383  0.00
P  0.5000  0.0000  0.2105  0.09
P  0.0000  0.5000  0.7895  0.10

## Properties
SG: P-4m2
Magnetization in μB per cell: 3.58

=====

2.
An optimized crystal structure of Pa2Co2Pb. Source: OQMD, functional GGA-PBE.

Lattice parameters (Å, degrees): 7.5003 7.5003 3.4578 90.00 90.00 90.00
Element x y z (fractional)
Co  0.6289  0.1289  0.0000
Co  0.1289  0.3711  0.0000
Co  0.8711  0.6289  0.0000
Co  0.3711  0.8711  0.0000
Pa  0.3334  0.1666  0.5000
Pa  0.8334  0.3334  0.5000
Pa  0.1666  0.6666  0.5000
Pa  0.6666  0.8334  0.5000
Pb  0.0000  0.0000  0.0000
Pb  0.5000  0.5000  0.0000

## Properties
SG: P4/mbm
Magnetization in μB per cell: 0.01

=====

3.
An optimized crystal structure of ZnCdSO. Source: OQMD, functional GGA-PBE.

Lattice parameters (Å, degrees): 3.5899 5.8606 6.2557 90.00 73.33 90.00
Element x y z (fractional)
Cd  0.3991  0.7500  0.2018
Cd  0.6009  0.2500  0.7982
O  0.0000  0.0000  0.0000
O  0.0000  0.5000  0.0000
S  0.2720  0.2500  0.4559
S  0.7280  0.7500  0.5441
Zn  0.8876  0.2500  0.2248
Zn  0.1124  0.7500  0.7752

## Properties
SG: Cmcm
Distance to the lowest polymorph of the same formula in meV/atom: 268

=====

4.
An optimized crystal structure of BeCoBMo. Source: OQMD, functional GGA-PBE.

Lattice parameters (Å, degrees): 3.8765 3.8765 3.8765 60.00 60.00 60.00
Site moments in Bohr magnetons follow the coordinates.
Element x y z (fractional)
B  0.0000  0.0000  0.0000  -0.01
Be  0.2500  0.2500  0.2500  0.07
Co  0.7500  0.7500  0.7500  0.67
Mo  0.5000  0.5000  0.5000  0.39

## Properties
SG: F-43m
Distance to the lowest polymorph of the same formula in meV/atom: 332
Magnetization in μB per cell: 1.19

=====

5.
An optimized crystal structure of PuTcB. Source: OQMD, functional GGA-PBE.

Lattice parameters (Å, degrees): 4.1017 4.1017 4.1017 60.00 60.00 60.00
Site moments in Bohr magnetons follow the coordinates.
Element x y z (fractional)
B  0.5000  0.5000  0.5000  0.01
Pu  0.2500  0.2500  0.2500  4.08
Tc  0.0000  0.0000  0.0000  -0.64

## Properties
SG: F-43m
Distance to the lowest polymorph of the same formula in meV/atom: 827
Magnetization in μB per cell: 3.43

=====

6.
An optimized crystal structure of AgBF6. Source: OQMD, functional GGA-PBE.

Lattice parameters (Å, degrees): 4.8226 4.8226 4.8226 60.00 60.00 60.00
Element x y z (fractional)
Ag  0.2500  0.2500  0.2500
B  0.5000  0.5000  0.5000
F  0.7323  0.2677  0.2677
F  0.2677  0.7323  0.2677
F  0.7323  0.7323  0.2677
F  0.2677  0.2677  0.7323
F  0.7323  0.2677  0.7323
F  0.2677  0.7323  0.7323

## Properties
SG: F-43m

=====

Q: Which calculated total energy values were calculated for the entries above? A: -4.238; -7.721; -3.479; -6.652; -9.332; -3.883, in eV per atom.